Record 1
# ZrCdRh

A PBEsol-optimized structure of ZrCdRh (SCAN, Alexandria).

a = 3.4366 Å, b = 3.4366 Å, c = 9.1660 Å
α = 90.00°, β = 90.00°, γ = 90.00°
Closest atoms and distances in Å follow each position.
Atoms (fractional coordinates):
Zr: 0.0000 0.0000 0.0000  4 Rh 2.73, 5 Cd 2.85-2.98
Zr: 0.5000 0.5000 0.5000  4 Rh 2.73, 5 Cd 2.85-2.98
Cd: 0.0000 0.0000 0.3113  5 Zr 2.85-2.98, 5 Rh 2.92-2.96
Cd: 0.5000 0.5000 0.8113  5 Zr 2.85-2.98, 5 Rh 2.92-2.96
Rh: 0.0000 0.0000 0.6347  4 Zr 2.73, 5 Cd 2.92-2.96
Rh: 0.5000 0.5000 0.1347  4 Zr 2.73, 5 Cd 2.92-2.96

DOS(E_F) = 2.859 states/eV per cell
Formation enthalpy at 0 K = -0.555 eV/atom
Symmetry = I4mm

=====

Record 2
# ZnCoTe2

A PBEsol-optimized structure of ZnCoTe2 (SCAN, Alexandria).

a = 3.7637 Å, b = 3.7637 Å, c = 24.2750 Å
α = 90.00°, β = 90.00°, γ = 120.00°
Closest atoms and distances in Å follow each position.
Atoms (fractional coordinates):
Zn: 0.0000 0.0000 0.0000  6 Te 2.73
Zn: 0.3333 0.6667 0.6667  6 Te 2.73
Zn: 0.6667 0.3333 0.3333  6 Te 2.73
Co: 0.0000 0.0000 0.5000  2 Te 2.39
Co: 0.3333 0.6667 0.1667  2 Te 2.39
Co: 0.6667 0.3333 0.8333  2 Te 2.39
Te: 0.0000 0.0000 0.4014  1 Co 2.39
Te: 0.0000 0.0000 0.5986  1 Co 2.39
Te: 0.3333 0.6667 0.0681  1 Co 2.39
Te: 0.3333 0.6667 0.2652  1 Co 2.39
Te: 0.6667 0.3333 0.7348  1 Co 2.39
Te: 0.6667 0.3333 0.9319  1 Co 2.39

DOS(E_F) = 6.723 states/eV per cell
ΔE_f (raw) = 0.3411 eV/atom
Symmetry = R-3m

=====

Record 3
# MnZnCdTe3

A PBEsol-optimized structure of MnZnCdTe3 (SCAN, Alexandria).

a = 4.4151 Å, b = 4.4260 Å, c = 18.8055 Å
α = 90.00°, β = 90.00°, γ = 90.00°
Closest atoms and distances in Å follow each position.
Atoms (fractional coordinates):
Mn: 0.0000 0.0000 0.0000  4 Te 2.68-2.69
Mn: 0.5000 0.5000 0.5000  4 Te 2.68-2.69
Zn: 0.0000 0.0000 0.3401  4 Te 2.64-2.66
Zn: 0.5000 0.5000 0.8401  4 Te 2.64-2.66
Cd: 0.0000 0.0000 0.6721  4 Te 2.79-2.80
Cd: 0.5000 0.5000 0.1721  4 Te 2.79-2.80
Te: 0.0000 0.5000 0.0805  2 Mn 2.68, 2 Cd 2.80
Te: 0.0000 0.5000 0.4183  2 Zn 2.66, 2 Mn 2.69
Te: 0.0000 0.5000 0.7627  2 Zn 2.64, 2 Cd 2.79
Te: 0.5000 0.0000 0.2627  2 Zn 2.64, 2 Cd 2.79
Te: 0.5000 0.0000 0.5805  2 Mn 2.68, 2 Cd 2.80
Te: 0.5000 0.0000 0.9183  2 Zn 2.66, 2 Mn 2.69

ΔE_f (raw) = -0.5061 eV/atom
Symmetry = Imm2

=====

Record 4
# Ca2SnS4

A PBEsol-optimized structure of Ca2SnS4 (SCAN, Alexandria).

a = 8.0898 Å, b = 11.2053 Å, c = 3.8039 Å
α = 90.00°, β = 90.00°, γ = 90.00°
Closest atoms and distances in Å follow each position.
Atoms (fractional coordinates):
Ca: 0.2500 0.2500 0.0000  6 S 2.78-2.81
Ca: 0.2500 0.7500 0.0000  6 S 2.78-2.81
Ca: 0.7500 0.2500 0.0000  6 S 2.78-2.81
Ca: 0.7500 0.7500 0.0000  6 S 2.78-2.81
Sn: 0.0000 0.0000 0.5000  6 S 2.59-2.60
Sn: 0.5000 0.5000 0.5000  6 S 2.59-2.60
S: 0.0000 0.2309 0.5000  1 Sn 2.59, 4 Ca 2.78
S: 0.0000 0.7691 0.5000  1 Sn 2.59, 4 Ca 2.78
S: 0.2194 0.0000 0.0000  2 Sn 2.60, 2 Ca 2.81
S: 0.2806 0.5000 0.0000  2 Sn 2.60, 2 Ca 2.81
S: 0.5000 0.2691 0.5000  1 Sn 2.59, 4 Ca 2.78
S: 0.5000 0.7309 0.5000  1 Sn 2.59, 4 Ca 2.78
S: 0.7194 0.5000 0.0000  2 Sn 2.60, 2 Ca 2.81
S: 0.7806 0.0000 0.0000  2 Sn 2.60, 2 Ca 2.81

DOS(E_F) = 0.000 states/eV per cell
ΔE_f (raw) = -1.5526 eV/atom
Symmetry = Cmmm